A plane-wave DFT calculation with PBE-GGA was carried out for a relaxed structure of Zn2SiSb2.

abc: 8.680 8.680 8.680
angles: 155.84 155.84 34.44
Fractional coordinates of all 5 atoms:
Sb (0.406, 0.406, 0.000)
Sb (0.594, 0.594, 0.000)
Si (0.000, 0.000, 0.000)
Zn (0.250, 0.750, 0.500)
Zn (0.750, 0.250, 0.500)

Calculated values
polymorph energy (0 for the lowest one)	0	meV/atom
magnetization	0.000	μB per formula unit

A plane-wave DFT calculation with PBE-GGA was carried out for a relaxed structure of Zn3SiSb.

abc: 5.151 5.151 5.151
angles: 90.00 90.00 90.00
Fractional coordinates of all 5 atoms:
Sb (0.000, 0.000, 0.000)
Si (0.500, 0.500, 0.500)
Zn (0.000, 0.500, 0.000)
Zn (0.500, 0.000, 0.000)
Zn (0.000, 0.000, 0.500)

Calculated values
polymorph energy (0 for the lowest one)	505	meV/atom
magnetization	0.000	μB per formula unit

A plane-wave DFT calculation with PBE-GGA was carried out for a relaxed structure of Zn2SiSb.

abc: 7.518 7.518 7.518
angles: 27.76 27.76 27.76
Fractional coordinates of all 4 atoms:
Zn (0.259, 0.259, 0.259)
Zn (0.003, 0.003, 0.003)
Sb (0.493, 0.493, 0.493)
Si (0.745, 0.745, 0.745)

Calculated values
polymorph energy (0 for the lowest one)	111	meV/atom
magnetization	0.000	μB per formula unit

A plane-wave DFT calculation with PBE-GGA was carried out for a relaxed structure of Zn2Si2Sb.

abc: 7.808 7.808 3.016
angles: 90.00 90.00 90.00
Fractional coordinates of all 10 atoms:
Sb (0.000, 0.000, 0.000)
Sb (0.500, 0.500, 0.000)
Zn (0.880, 0.380, 0.500)
Zn (0.380, 0.120, 0.500)
Zn (0.620, 0.880, 0.500)
Zn (0.120, 0.620, 0.500)
Si (0.680, 0.180, 0.000)
Si (0.320, 0.820, 0.000)
Si (0.820, 0.680, 0.000)
Si (0.180, 0.320, 0.000)

Calculated values
polymorph energy (0 for the lowest one)	54	meV/atom
magnetization	0.000	μB per formula unit

A plane-wave DFT calculation with PBE-GGA was carried out for a relaxed structure of Zn2SiSb.

abc: 4.645 4.645 3.758
angles: 90.00 90.00 106.63
Fractional coordinates of all 4 atoms:
Sb (0.500, 0.000, 0.500)
Zn (0.500, 0.500, 0.000)
Zn (0.000, 0.000, 0.000)
Si (0.000, 0.500, 0.500)

Calculated values
polymorph energy (0 for the lowest one)	202	meV/atom
magnetization	0.000	μB per formula unit

A plane-wave DFT calculation with PBE-GGA was carried out for a relaxed structure of Zn2SiSb.

abc: 7.956 7.956 7.956
angles: 24.82 24.82 24.82
Fractional coordinates of all 4 atoms:
Zn (0.488, 0.488, 0.488)
Zn (0.012, 0.012, 0.012)
Si (0.750, 0.750, 0.750)
Sb (0.250, 0.250, 0.250)

Calculated values
polymorph energy (0 for the lowest one)	93	meV/atom
magnetization	0.000	μB per formula unit

A plane-wave DFT calculation with PBE-GGA was carried out for a relaxed structure of Zn2SiSb.

abc: 3.152 3.152 7.753
angles: 90.00 90.00 97.54
Fractional coordinates of all 4 atoms:
Zn (0.500, 0.500, 0.209)
Zn (0.000, 0.000, 0.998)
Sb (0.000, 0.000, 0.492)
Si (0.500, 0.500, 0.801)

Calculated values
polymorph energy (0 for the lowest one)	158	meV/atom
magnetization	0.000	μB per formula unit

A plane-wave DFT calculation with PBE-GGA was carried out for a relaxed structure of ZnSi2Sb.

abc: 8.477 8.477 8.477
angles: 22.45 22.45 22.45
Fractional coordinates of all 4 atoms:
Si (0.513, 0.513, 0.513)
Si (0.987, 0.987, 0.987)
Zn (0.250, 0.250, 0.250)
Sb (0.750, 0.750, 0.750)

Calculated values
polymorph energy (0 for the lowest one)	266	meV/atom
magnetization	0.000	μB per formula unit

A plane-wave DFT calculation with PBE-GGA was carried out for a relaxed structure of ZnSi2Sb.

abc: 5.867 5.867 7.092
angles: 65.56 65.56 90.00
Fractional coordinates of all 8 atoms:
Sb (0.000, 0.000, 0.000)
Sb (0.750, 0.250, 0.500)
Si (0.375, 0.406, 0.750)
Si (0.156, 0.625, 0.250)
Si (0.875, 0.844, 0.750)
Si (0.594, 0.125, 0.250)
Zn (0.250, 0.750, 0.500)
Zn (0.500, 0.500, 0.000)

Calculated values
polymorph energy (0 for the lowest one)	59	meV/atom
magnetization	0.000	μB per formula unit

A plane-wave DFT calculation with PBE-GGA was carried out for a relaxed structure of ZnSi2Sb.

abc: 3.190 3.190 7.545
angles: 90.00 90.00 99.90
Fractional coordinates of all 4 atoms:
Si (0.500, 0.500, 0.235)
Si (0.000, 0.000, 0.055)
Sb (0.500, 0.500, 0.752)
Zn (0.000, 0.000, 0.459)

Calculated values
polymorph energy (0 for the lowest one)	162	meV/atom
magnetization	0.000	μB per formula unit

A plane-wave DFT calculation with PBE-GGA was carried out for a relaxed structure of Zn2SiSb.

abc: 3.362 3.362 6.721
angles: 90.00 90.00 90.00
Fractional coordinates of all 4 atoms:
Zn (0.000, 0.000, 0.953)
Zn (0.000, 0.000, 0.547)
Sb (0.500, 0.500, 0.250)
Si (0.500, 0.500, 0.750)

Calculated values
polymorph energy (0 for the lowest one)	167	meV/atom
magnetization	0.000	μB per formula unit

A plane-wave DFT calculation with PBE-GGA was carried out for a relaxed structure of Zn2SiSb.

abc: 4.022 4.016 4.761
angles: 90.00 90.00 90.00
Fractional coordinates of all 4 atoms:
Zn (0.500, 0.000, 0.500)
Zn (0.000, 0.000, 0.000)
Sb (0.500, 0.500, 0.000)
Si (0.000, 0.500, 0.500)

Calculated values
polymorph energy (0 for the lowest one)	174	meV/atom
magnetization	0.000	μB per formula unit

no.,density of states at the Fermi level (states/eV per atom)
1,0.251
2,0.837
3,0.181
4,0.519
5,0.401
6,0.330
7,0.260
8,0.301
9,0.498
10,0.419
11,0.454
12,0.345